1.
Material: CdAg2Rh
Method: DFT, PBE-GGA
State: optimized geometry

Calculated values
theoretical density: 10280 kg/m3
formation enthalpy at 0 K: 0.055 eV/atom
space group: Pmm2, No. 25

a b c (Å): 3.0332 3.8221 6.0058
angles (deg): 90.00 90.00 90.00
Closest atoms and distances in Å follow each position.
Sites, in units of the cell vectors:
Cd 0.0000 0.0000 0.0000  4 Rh 2.81, 6 Ag 2.88-3.12, 2 Cd 3.03
Ag 0.0000 0.0000 0.4802  4 Rh 2.86, 6 Ag 2.86-3.03, 2 Cd 2.88-3.12
Ag 0.5000 0.5000 0.7288  6 Ag 2.86-3.03, 4 Cd 2.93, 2 Rh 2.98-3.02
Rh 0.5000 0.5000 0.2321  4 Cd 2.81, 6 Ag 2.86-3.02, 2 Rh 3.03

=====

2.
Material: Nd2SmSn3Pt4
Method: DFT, PBE-GGA
State: optimized geometry

Calculated values
theoretical density: 10941 kg/m3
formation enthalpy at 0 K: -0.881 eV/atom
space group: P-4m2, No. 115

a b c (Å): 4.6103 4.6103 11.2489
angles (deg): 90.00 90.00 90.00
Closest atoms and distances in Å follow each position.
Sites, in units of the cell vectors:
Nd 0.0000 0.5000 0.2147  8 Pt 3.34-3.62, 4 Sn 3.42
Nd 0.5000 0.0000 0.7853  8 Pt 3.34-3.62, 4 Sn 3.42
Sm 0.0000 0.0000 0.5000  4 Pt 2.83
Sn 0.0000 0.5000 0.8763  5 Pt 2.59-2.69
Sn 0.5000 0.0000 0.1237  5 Pt 2.59-2.69
Sn 0.5000 0.5000 0.5000  4 Pt 2.83
Pt 0.0000 0.0000 0.0000  4 Sn 2.69
Pt 0.0000 0.5000 0.6457  3 Sn 2.59-2.83, 2 Sm 2.83
Pt 0.5000 0.0000 0.3543  3 Sn 2.59-2.83, 2 Sm 2.83
Pt 0.5000 0.5000 0.0000  4 Sn 2.69

=====

3.
Material: CdSbAs2
Method: DFT, PBE-GGA
State: optimized geometry

Calculated values
theoretical density: 6587 kg/m3
space group: R3m, No. 160
formation energy (no corrections): 0.5 eV/f.u.

a b c (Å): 8.3661 8.3661 8.3661
angles (deg): 25.68 25.68 25.68
Closest atoms and distances in Å follow each position.
Sites, in units of the cell vectors:
Cd 0.0000 0.0000 0.0000  3 As 3.03, 3 Sb 3.14
Sb 0.7609 0.7609 0.7609  3 As 3.08, 3 Cd 3.14
As 0.2454 0.2454 0.2454  3 As 2.60
As 0.5185 0.5185 0.5185  3 As 2.60

=====

4.
Material: ScMnB4
Method: DFT, PBE-GGA
State: optimized geometry

Calculated values
theoretical density: 4754 kg/m3
formation enthalpy at 0 K: 0.162 eV/atom
space group: F-43m, No. 216

a b c (Å): 4.1352 4.1352 4.1352
angles (deg): 60.00 60.00 60.00
Closest atoms and distances in Å follow each position.
Sites, in units of the cell vectors:
Sc 0.0000 0.0000 0.0000  12 B 2.41, 4 Mn 2.53
Mn 0.7500 0.7500 0.7500  12 B 2.45, 4 Sc 2.53
B 0.3642 0.3642 0.3642  3 B 1.89
B 0.3642 0.3642 0.9073  3 B 1.89
B 0.3642 0.9073 0.3642  3 B 1.89
B 0.9073 0.3642 0.3642  3 B 1.89

=====

5.
Material: Zr6NbAu5
Method: DFT, PBE-GGA
State: optimized geometry

Calculated values
theoretical density: 11115 kg/m3
formation enthalpy at 0 K: -0.400 eV/atom
space group: P2/m, No. 10

a b c (Å): 4.9625 6.6022 7.8183
angles (deg): 90.00 108.59 90.00
Closest atoms and distances in Å follow each position.
Sites, in units of the cell vectors:
Zr 0.0000 0.2501 0.0000  6 Au 2.89-2.98, 2 Nb 2.98
Zr 0.0000 0.7499 0.0000  6 Au 2.89-2.98, 2 Nb 2.98
Zr 0.3349 0.2457 0.6685  1 Nb 2.94, 7 Au 2.97-3.05, 1 Zr 3.24
Zr 0.3349 0.7543 0.6685  1 Nb 2.94, 7 Au 2.97-3.05, 1 Zr 3.24
Zr 0.6651 0.2457 0.3315  1 Nb 2.94, 7 Au 2.97-3.05, 1 Zr 3.24
Zr 0.6651 0.7543 0.3315  1 Nb 2.94, 7 Au 2.97-3.05, 1 Zr 3.24
Nb 0.5000 0.0000 0.0000  8 Zr 2.94-2.98
Au 0.1590 0.0000 0.3196  8 Zr 2.89-3.05
Au 0.1666 0.5000 0.3351  8 Zr 2.98-3.00, 2 Au 3.30
Au 0.5000 0.5000 0.0000  8 Zr 2.98, 2 Nb 3.30
Au 0.8334 0.5000 0.6649  8 Zr 2.98-3.00, 2 Au 3.30
Au 0.8410 0.0000 0.6804  8 Zr 2.89-3.05

=====

6.
Material: Gd2HfO5
Method: DFT, PBE-GGA
State: optimized geometry

Calculated values
theoretical density: 7313 kg/m3
space group: Cmcm, No. 63
formation energy (no corrections): -28.0 eV/f.u.

a b c (Å): 6.0865 6.0865 10.9776
angles (deg): 90.00 90.00 140.22
Closest atoms and distances in Å follow each position.
Sites, in units of the cell vectors:
Gd 0.1392 0.8608 0.5673  5 O 2.23-2.43
Gd 0.1392 0.8608 0.9327  5 O 2.23-2.43
Gd 0.8608 0.1392 0.0673  5 O 2.23-2.43
Gd 0.8608 0.1392 0.4327  5 O 2.23-2.43
Hf 0.1750 0.8250 0.2500  6 O 2.03-2.18
Hf 0.8250 0.1750 0.7500  6 O 2.03-2.18
O 0.0491 0.9509 0.1197  1 Hf 2.03, 1 Gd 2.23
O 0.0491 0.9509 0.3803  1 Hf 2.03, 1 Gd 2.23
O 0.2712 0.7288 0.7500  2 Hf 2.16
O 0.2884 0.7116 0.0907  1 Hf 2.18, 3 Gd 2.25-2.43
O 0.2884 0.7116 0.4093  1 Hf 2.18, 3 Gd 2.25-2.43
O 0.7116 0.2884 0.5907  1 Hf 2.18, 3 Gd 2.25-2.43
O 0.7116 0.2884 0.9093  1 Hf 2.18, 3 Gd 2.25-2.43
O 0.7288 0.2712 0.2500  2 Hf 2.16
O 0.9509 0.0491 0.6197  1 Hf 2.03, 1 Gd 2.23
O 0.9509 0.0491 0.8803  1 Hf 2.03, 1 Gd 2.23

=====

7.
Material: K2Pr2IrO6
Method: DFT, PBE-GGA
State: optimized geometry

Calculated values
theoretical density: 5342 kg/m3
space group: C2/m, No. 12
formation energy (no corrections): -21.9 eV/f.u.

a b c (Å): 6.0100 6.0100 6.6126
angles (deg): 97.14 97.14 119.49
Closest atoms and distances in Å follow each position.
Sites, in units of the cell vectors:
K 0.1523 0.8477 0.0000  4 O 2.70-2.75
K 0.8477 0.1523 0.0000  4 O 2.70-2.75
Pr 0.3365 0.6635 0.5000  6 O 2.39-2.42
Pr 0.6635 0.3365 0.5000  6 O 2.39-2.42
Ir 0.0000 0.0000 0.5000  6 O 2.10-2.11
O 0.0412 0.3423 0.6721  1 Ir 2.11
O 0.2399 0.2399 0.3195  1 Ir 2.10
O 0.3423 0.0412 0.6721  1 Ir 2.11
O 0.6577 0.9588 0.3279  1 Ir 2.11
O 0.7601 0.7601 0.6805  1 Ir 2.10
O 0.9588 0.6577 0.3279  1 Ir 2.11

=====

8.
Material: UIn2PbSe4
Method: DFT, PBE-GGA
State: optimized geometry

Calculated values
theoretical density: 6815 kg/m3
space group: P2/m, No. 10
formation energy (no corrections): -5.4 eV/f.u.

a b c (Å): 7.4730 4.2574 7.9598
angles (deg): 90.00 107.60 90.00
Closest atoms and distances in Å follow each position.
Sites, in units of the cell vectors:
U 0.0000 0.0000 0.0000  6 Se 2.81-2.89
In 0.0000 0.5000 0.5000  6 Se 3.17-3.19
In 0.5000 0.0000 0.5000  6 Se 3.37-3.42
Pb 0.5000 0.5000 0.0000  6 Se 3.08-3.09
Se 0.2160 0.5000 0.2125  2 U 2.89, 1 Pb 3.09, 1 In 3.17
Se 0.2316 0.0000 0.7794  1 U 2.81, 2 Pb 3.08
Se 0.7684 0.0000 0.2206  1 U 2.81, 2 Pb 3.08
Se 0.7840 0.5000 0.7875  2 U 2.89, 1 Pb 3.09, 1 In 3.17